i.
DFT (PBE) results for crystalline Y4Sb3 at its relaxed geometry.

It has space group I-43d (No. 220), with a = 9.212 Å, b = 9.212 Å, c = 9.212 Å, α = 90.00°, β = 90.00° and γ = 90.00°. The inequivalent atoms are Y at (0.072, 0.072, 0.072) and Sb at (0.000, 0.250, 0.375).

The density comes out at 6.126 g cm⁻³.

ii.
DFT (PBE) results for crystalline Y4Sb3 at its relaxed geometry.

It has space group R-3m (No. 166, hexagonal axes), with a = 4.5079 Å, b = 4.5079 Å, c = 36.5515 Å, α = 90.00°, β = 90.00° and γ = 120.00°. The inequivalent atoms are Y at (0.0000, 0.0000, 0.1217), Y at (0.0000, 0.0000, 0.3658), Sb at (0.0000, 0.0000, 0.2607) and Sb at (0.0000, 0.0000, 0.5000).

The density comes out at 5.583 g cm⁻³.

i has the most favorable energy; the next structure is 124 meV/atom above.

i.
DFT (PBE) results for crystalline YZnSb3 at its relaxed geometry.

It has space group Pm-3m (No. 221), with a = 5.786 Å, b = 5.786 Å, c = 5.786 Å, α = 90.00°, β = 90.00° and γ = 90.00°. The inequivalent atoms are Y at (0.000, 0.000, 0.000), Zn at (0.500, 0.500, 0.500) and Sb at (0.000, 0.000, 0.500).

The density comes out at 4.455 g cm⁻³.

ii.
DFT (PBE) results for crystalline YZnSb3 at its relaxed geometry.

It has space group Pm-3m (No. 221), with a = 5.233 Å, b = 5.233 Å, c = 5.233 Å, α = 90.00°, β = 90.00° and γ = 90.00°. The inequivalent atoms are Y at (0.000, 0.000, 0.000), Zn at (0.500, 0.500, 0.500) and Sb at (0.000, 0.500, 0.500).

The density comes out at 6.019 g cm⁻³.

ii has the most favorable energy; the next structure is 297 meV/atom above.

i.
DFT (PBE) results for crystalline Y4ZnSb at its relaxed geometry.

It has space group F-43m (No. 216), with a = 13.896 Å, b = 13.896 Å, c = 13.896 Å, α = 90.00°, β = 90.00° and γ = 90.00°. The inequivalent atoms are Y at (0.000, 0.000, 0.187), Y at (0.060, 0.250, 0.750), Y at (0.129, 0.129, 0.371), Zn at (0.156, 0.156, 0.156) and Sb at (0.097, 0.097, 0.597).

The density comes out at 5.374 g cm⁻³.

ii.
DFT (PBE) results for crystalline Y4ZnSb at its relaxed geometry.

It has space group F-43m (No. 216), with a = 8.884 Å, b = 8.884 Å, c = 8.884 Å, α = 90.00°, β = 90.00° and γ = 90.00°. The inequivalent atoms are Y at (0.125, 0.125, 0.125), Zn at (0.250, 0.250, 0.750) and Sb at (0.000, 0.000, 0.500).

The density comes out at 5.142 g cm⁻³.

i has the most favorable energy; the next structure is 744 meV/atom above.

i.
DFT (PBE) results for crystalline YZr2Sb2 at its relaxed geometry.

It has space group I4/mmm (No. 139), with a = 5.502 Å, b = 5.502 Å, c = 8.934 Å, α = 90.00°, β = 90.00° and γ = 90.00°. The inequivalent atoms are Y at (0.000, 0.000, 0.000), Zr at (0.000, 0.000, 0.347) and Sb at (0.000, 0.500, 0.250).

The density comes out at 6.323 g cm⁻³.

ii.
DFT (PBE) results for crystalline YZr2Sb2 at its relaxed geometry.

It has space group P4/mbm (No. 127), with a = 8.004 Å, b = 8.004 Å, c = 3.809 Å, α = 90.00°, β = 90.00° and γ = 90.00°. The inequivalent atoms are Y at (0.000, 0.000, 0.000), Zr at (0.150, 0.350, 0.500) and Sb at (0.144, 0.644, 0.000).

The density comes out at 7.008 g cm⁻³.

ii has the most favorable energy; the next structure is 416 meV/atom above.

i.
DFT (PBE) results for crystalline ZnSb3 at its relaxed geometry.

It has space group I4/mmm (No. 139), with a = 5.501 Å, b = 5.501 Å, c = 6.683 Å, α = 90.00°, β = 90.00° and γ = 90.00°. The inequivalent atoms are Zn at (0.000, 0.000, 0.000), Sb at (0.000, 0.000, 0.500) and Sb at (0.000, 0.500, 0.250).

The density comes out at 7.071 g cm⁻³.

ii.
DFT (PBE) results for crystalline ZnSb3 at its relaxed geometry.

It has space group Imm2 (No. 44), with a = 3.250 Å, b = 11.906 Å, c = 5.488 Å, α = 90.00°, β = 90.00° and γ = 90.00°. The inequivalent atoms are Zn at (0.000, 0.000, 0.000), Sb at (0.000, 0.317, 0.685) and Sb at (0.000, 0.500, 0.059).

The density comes out at 6.735 g cm⁻³.

ii has the most favorable energy; the next structure is 63 meV/atom above.

i.
DFT (PBE) results for crystalline ZnSb3 at its relaxed geometry.

It has space group P4/mmm (No. 123), with a = 3.794 Å, b = 3.794 Å, c = 6.887 Å, α = 90.00°, β = 90.00° and γ = 90.00°. The inequivalent atoms are Zn at (0.000, 0.000, 0.000), Sb at (0.000, 0.000, 0.500) and Sb at (0.500, 0.500, 0.226).

The density comes out at 7.216 g cm⁻³.

ii.
DFT (PBE) results for crystalline ZnSb3 at its relaxed geometry.

It has space group R-3m (No. 166, hexagonal axes), with a = 3.3642 Å, b = 3.3642 Å, c = 30.6189 Å, α = 90.00°, β = 90.00° and γ = 120.00°. The inequivalent atoms are Zn at (0.0000, 0.0000, 0.0000), Sb at (0.0000, 0.0000, 0.2606) and Sb at (0.0000, 0.0000, 0.5000).

The density comes out at 7.149 g cm⁻³.

iii.
DFT (PBE) results for crystalline ZnSb3 at its relaxed geometry.

It has space group Immm (No. 71), with a = 3.898 Å, b = 4.509 Å, c = 11.705 Å, α = 90.00°, β = 90.00° and γ = 90.00°. The inequivalent atoms are Zn at (0.000, 0.000, 0.000), Sb at (0.000, 0.000, 0.500) and Sb at (0.000, 0.500, 0.308).

The density comes out at 6.952 g cm⁻³.

iv.
DFT (PBE) results for crystalline ZnSb3 at its relaxed geometry.

It has space group P2/m (No. 10), with a = 3.119 Å, b = 4.161 Å, c = 8.334 Å, α = 90.00°, β = 98.86° and γ = 90.00°. The inequivalent atoms are Zn at (0.000, 0.000, 0.000), Sb at (0.000, 0.000, 0.500) and Sb at (0.112, 0.500, 0.776).

The density comes out at 6.692 g cm⁻³.

iv has the most favorable energy; the next structure is 73 meV/atom above.

i.
DFT (PBE) results for crystalline ZnSb3 at its relaxed geometry.

It has space group Fm-3m (No. 225), with a = 7.386 Å, b = 7.386 Å, c = 7.386 Å, α = 90.00°, β = 90.00° and γ = 90.00°. The inequivalent atoms are Zn at (0.000, 0.000, 0.000), Sb at (0.000, 0.000, 0.500) and Sb at (0.250, 0.250, 0.250).

The density comes out at 7.099 g cm⁻³.

ii.
DFT (PBE) results for crystalline ZnSb3 at its relaxed geometry.

It has space group P-6m2 (No. 187), with a = 3.3856 Å, b = 3.3856 Å, c = 10.1309 Å, α = 90.00°, β = 90.00° and γ = 120.00°. The inequivalent atoms are Zn at (0.0000, 0.0000, 0.0000), Sb at (0.0000, 0.0000, 0.5000) and Sb at (0.3333, 0.6667, 0.2188).

The density comes out at 7.112 g cm⁻³.

i has the most favorable energy; the next structure is 29 meV/atom above.

i.
DFT (PBE) results for crystalline ZnSb3 at its relaxed geometry.

It has space group Cmmm (No. 65), with a = 3.911 Å, b = 5.184 Å, c = 9.860 Å, α = 90.00°, β = 90.00° and γ = 90.00°. The inequivalent atoms are Zn at (0.000, 0.000, 0.000), Sb at (0.000, 0.000, 0.500) and Sb at (0.000, 0.500, 0.218).

The density comes out at 7.157 g cm⁻³.

ii.
DFT (PBE) results for crystalline ZnSb3 at its relaxed geometry.

It has space group Pmm2 (No. 25), with a = 4.039 Å, b = 5.973 Å, c = 4.555 Å, α = 90.00°, β = 90.00° and γ = 90.00°. The inequivalent atoms are Zn at (0.000, 0.000, 0.000), Sb at (0.000, 0.500, 0.016), Sb at (0.500, 0.000, 0.521) and Sb at (0.500, 0.500, 0.465).

The density comes out at 6.510 g cm⁻³.

iii.
DFT (PBE) results for crystalline ZnSb3 at its relaxed geometry.

It has space group Cmmm (No. 65), with a = 6.594 Å, b = 7.937 Å, c = 3.865 Å, α = 90.00°, β = 90.00° and γ = 90.00°. The inequivalent atoms are Zn at (0.000, 0.000, 0.000), Sb at (0.000, 0.500, 0.000) and Sb at (0.250, 0.250, 0.500).

The density comes out at 7.072 g cm⁻³.

iv.
DFT (PBE) results for crystalline ZnSb3 at its relaxed geometry.

It has space group Pmmn (No. 59, origin choice 2), with a = 5.959 Å, b = 8.342 Å, c = 4.261 Å, α = 90.00°, β = 90.00° and γ = 90.00°. The inequivalent atoms are Zn at (0.250, 0.250, 0.002), Sb at (0.250, 0.020, 0.502) and Sb at (0.250, 0.750, 0.002).

The density comes out at 6.754 g cm⁻³.

iv has the most favorable energy; the next structure is 49 meV/atom above.

i.
DFT (PBE) results for crystalline Zn5Sb at its relaxed geometry.

It has space group P-62m (No. 189), with a = 5.3683 Å, b = 5.3683 Å, c = 4.3496 Å, α = 90.00°, β = 90.00° and γ = 120.00°. The inequivalent atoms are Zn at (0.0000, 0.5985, 0.0000), Zn at (0.3333, 0.6667, 0.5000) and Sb at (0.0000, 0.0000, 0.5000).

The density comes out at 6.865 g cm⁻³.

ii.
DFT (PBE) results for crystalline Zn5Sb at its relaxed geometry.

It has space group P4/mmm (No. 123), with a = 3.017 Å, b = 3.017 Å, c = 11.707 Å, α = 90.00°, β = 90.00° and γ = 90.00°. The inequivalent atoms are Zn at (0.000, 0.000, 0.000), Zn at (0.000, 0.000, 0.294), Zn at (0.500, 0.500, 0.150) and Sb at (0.500, 0.500, 0.500).

The density comes out at 6.993 g cm⁻³.

i has the most favorable energy; the next structure is 11 meV/atom above.

i.
DFT (PBE) results for crystalline Zn5Sb at its relaxed geometry.

It has space group Amm2 (No. 38), with a = 4.060 Å, b = 2.975 Å, c = 18.123 Å, α = 90.00°, β = 90.00° and γ = 90.00°. The inequivalent atoms are Zn at (0.000, 0.000, 0.000), Zn at (0.000, 0.000, 0.279), Zn at (0.000, 0.000, 0.636), Zn at (0.500, 0.000, 0.096), Zn at (0.500, 0.000, 0.730) and Sb at (0.500, 0.000, 0.401).

The density comes out at 6.809 g cm⁻³.

ii.
DFT (PBE) results for crystalline Zn5Sb at its relaxed geometry.

It has space group Cmmm (No. 65), with a = 4.252 Å, b = 12.096 Å, c = 4.161 Å, α = 90.00°, β = 90.00° and γ = 90.00°. The inequivalent atoms are Zn at (0.000, 0.000, 0.000), Zn at (0.000, 0.176, 0.500), Zn at (0.000, 0.320, 0.000) and Sb at (0.000, 0.500, 0.500).

The density comes out at 6.965 g cm⁻³.

i has the most favorable energy; the next structure is 8 meV/atom above.

i.
DFT (PBE) results for crystalline ZrZn3Sb at its relaxed geometry.

It has space group Pm-3m (No. 221), with a = 5.003 Å, b = 5.003 Å, c = 5.003 Å, α = 90.00°, β = 90.00° and γ = 90.00°. The inequivalent atoms are Zr at (0.000, 0.000, 0.000), Zn at (0.000, 0.500, 0.500) and Sb at (0.500, 0.500, 0.500).

The density comes out at 5.426 g cm⁻³.

ii.
DFT (PBE) results for crystalline ZrZn3Sb at its relaxed geometry.

It has space group Pm-3m (No. 221), with a = 5.180 Å, b = 5.180 Å, c = 5.180 Å, α = 90.00°, β = 90.00° and γ = 90.00°. The inequivalent atoms are Zr at (0.000, 0.000, 0.000), Zn at (0.000, 0.000, 0.500) and Sb at (0.500, 0.500, 0.500).

The density comes out at 4.888 g cm⁻³.

i has the most favorable energy; the next structure is 6 meV/atom above.